[1]
# Ni2Te2S PBE relaxed
# Offset from the most stable computed form: 0.97 eV/f.u.
data_Ni2Te2S
_symmetry_space_group_name_H-M 'I 4/m m m'
_symmetry_Int_Tables_number 139
_symmetry_space_group_name_Hall '-I 4 2'
_cell_length_a 3.5996
_cell_length_b 3.5996
_cell_length_c 14.6844
_cell_angle_alpha 90.00
_cell_angle_beta 90.00
_cell_angle_gamma 90.00
loop_
_atom_site_label
_atom_site_type_symbol
_atom_site_fract_x
_atom_site_fract_y
_atom_site_fract_z
Ni1 Ni 0.0000 0.5000 0.2500
Te1 Te 0.0000 0.0000 0.1267
S1 S 0.0000 0.0000 0.5000

=====

[2]
Density functional theory data (PBE) for crystalline NiTeS2 at its relaxed geometry.

Geometry as CIF:
```
data_NiTeS2
_symmetry_space_group_name_H-M 'I -4 2 d'
_symmetry_Int_Tables_number 122
_symmetry_space_group_name_Hall 'I -4 2bw'
_cell_length_a 6.2396
_cell_length_b 6.2396
_cell_length_c 8.5560
_cell_angle_alpha 90.00
_cell_angle_beta 90.00
_cell_angle_gamma 90.00
loop_
_atom_site_label
_atom_site_type_symbol
_atom_site_fract_x
_atom_site_fract_y
_atom_site_fract_z
Ni1 Ni 0.0000 0.0000 0.0000
Te1 Te 0.0000 0.0000 0.5000
S1 S 0.1720 0.2500 0.1250
```

=====

[3]
Density functional theory data (PBE) for crystalline Ni4TeS2 at its relaxed geometry.

Geometry as CIF:
```
data_Ni4TeS2
_symmetry_space_group_name_H-M 'I 4/m m m'
_symmetry_Int_Tables_number 139
_symmetry_space_group_name_Hall '-I 4 2'
_cell_length_a 4.7248
_cell_length_b 4.7248
_cell_length_c 11.8835
_cell_angle_alpha 90.00
_cell_angle_beta 90.00
_cell_angle_gamma 90.00
loop_
_atom_site_label
_atom_site_type_symbol
_atom_site_fract_x
_atom_site_fract_y
_atom_site_fract_z
Ni1 Ni 0.0000 0.0000 0.2111
Ni2 Ni 0.0000 0.5000 0.0000
Te1 Te 0.0000 0.0000 0.0000
S1 S 0.0000 0.0000 0.3828
```

=====

It is found that the density values, taken in the order of the records, are 7.1, 5.0, 5.3 g/cm³.
It is found that the energy values, taken in the order of the records, are -21.701, -16.940, -30.433 eV per formula unit.